A relaxed structure of Tb5Pr3Sb8. Source: Alexandria via LeMat-Bulk, functional PBE.

Calculated values
- uncorrected formation energy (eV/f.u.) = -18.55
- symmetry = R-3m
- raw total energy (eV per atom) = -5.564
- volume (Å³/f.u.) = 502.5
- D(E_F) (states/eV per cell) = 2.2

a b c (Å): 8.922 8.922 8.922
angles (deg): 60.03 60.03 60.03
Atoms (fractional coordinates):
Tb 0.000 0.000 0.000
Tb 0.000 0.500 0.500
Tb 0.500 0.000 0.500
Tb 0.500 0.500 0.000
Tb 0.500 0.500 0.500
Pr 0.000 0.000 0.500
Pr 0.000 0.500 0.000
Pr 0.500 0.000 0.000
Sb 0.250 0.250 0.744
Sb 0.250 0.744 0.250
Sb 0.253 0.253 0.253
Sb 0.256 0.750 0.750
Sb 0.744 0.250 0.250
Sb 0.747 0.747 0.747
Sb 0.750 0.256 0.750
Sb 0.750 0.750 0.256